# AlVNi2O6

A relaxed structure of AlVNi2O6 (PBE+U, the Alexandria database).

E ... -6.092 eV/atom
Theoretical density ... 4.157 g/cm³

Geometry as extended XYZ:
```
10
Lattice="-2.240 1.206 3.747 -1.648 -4.763 0.548 4.086 -1.093 2.794" Properties=species:S:1:pos:R:3 pbc="T T T"
Al -0.100 -2.218 3.877
V -1.349 0.726 2.257
Ni -2.950 -1.237 3.830
Ni -0.083 0.598 4.954
O -1.022 -0.586 3.567
O 1.020 -1.132 4.963
O 0.763 -2.682 2.434
O -0.534 0.287 0.893
O 0.196 -3.512 5.237
O -1.846 -2.966 3.840
```